No. 1
# Zr2W2Br | Alexandria via LeMat-Bulk | GGA-PBE | relaxed
data_Zr2W2Br
_cell_length_a 3.710
_cell_length_b 3.710
_cell_length_c 16.147
_cell_angle_alpha 90.00
_cell_angle_beta 90.00
_cell_angle_gamma 90.00
_space_group_name_H-M_alt 'I 4/m m m'
_space_group_IT_number 139
_space_group_name_Hall '-I 4 2'
loop_
_atom_site_label
_atom_site_type_symbol
_atom_site_fract_x
_atom_site_fract_y
_atom_site_fract_z
_atom_site_occupancy
Zr1 Zr 0.000 0.000 0.113 1
W1 W 0.000 0.500 0.250 1
Br1 Br 0.000 0.000 0.500 1
# **Crystal system**: tetragonal
# **Uncorrected energy**: -8.62 eV per atom
# **Density of states at the Fermi level**: 1.05 states/eV/atom
# **Energy relative to the elements, uncorrected**: 1.56 eV/f.u.



No. 2
# Zr2WBr | Alexandria via LeMat-Bulk | GGA-PBE | relaxed
data_Zr2WBr
_cell_length_a 3.2644
_cell_length_b 3.2644
_cell_length_c 29.8154
_cell_angle_alpha 90.00
_cell_angle_beta 90.00
_cell_angle_gamma 120.00
_space_group_name_H-M_alt 'R 3 m'
_space_group_IT_number 160
_space_group_name_Hall 'R 3 -2"'
loop_
_atom_site_label
_atom_site_type_symbol
_atom_site_fract_x
_atom_site_fract_y
_atom_site_fract_z
_atom_site_occupancy
Zr1 Zr 0.0000 0.0000 0.0000 1
Zr2 Zr 0.0000 0.0000 0.2459 1
W1 W 0.0000 0.0000 0.7345 1
Br1 Br 0.0000 0.0000 0.5123 1
# **Crystal system**: trigonal
# **Uncorrected energy**: -7.65 eV per atom
# **Density of states at the Fermi level**: 1.08 states/eV/atom
# **Energy relative to the elements, uncorrected**: 1.12 eV/f.u.



No. 3
# ZrW2Br | Alexandria via LeMat-Bulk | GGA-PBE | relaxed
data_ZrW2Br
_cell_length_a 3.231
_cell_length_b 4.982
_cell_length_c 9.341
_cell_angle_alpha 90.00
_cell_angle_beta 90.00
_cell_angle_gamma 90.00
_space_group_name_H-M_alt 'C m m m'
_space_group_IT_number 65
_space_group_name_Hall '-C 2 2'
loop_
_atom_site_label
_atom_site_type_symbol
_atom_site_fract_x
_atom_site_fract_y
_atom_site_fract_z
_atom_site_occupancy
Zr1 Zr 0.000 0.000 0.000 1
W1 W 0.000 0.500 0.248 1
Br1 Br 0.000 0.000 0.500 1
# **Crystal system**: orthorhombic
# **Uncorrected energy**: -8.27 eV per atom
# **Density of states at the Fermi level**: 0.81 states/eV/atom
# **Energy relative to the elements, uncorrected**: 3.03 eV/f.u.



No. 4
# ZrW4Br | Alexandria via LeMat-Bulk | GGA-PBE | relaxed
data_ZrW4Br
_cell_length_a 7.656
_cell_length_b 7.656
_cell_length_c 7.656
_cell_angle_alpha 90.00
_cell_angle_beta 90.00
_cell_angle_gamma 90.00
_space_group_name_H-M_alt 'F -4 3 m'
_space_group_IT_number 216
_space_group_name_Hall 'F -4 2 3'
loop_
_atom_site_label
_atom_site_type_symbol
_atom_site_fract_x
_atom_site_fract_y
_atom_site_fract_z
_atom_site_occupancy
Zr1 Zr 0.000 0.000 0.000 1
W1 W 0.125 0.125 0.375 1
Br1 Br 0.250 0.250 0.750 1
# **Crystal system**: cubic
# **Uncorrected energy**: -9.62 eV per atom
# **Density of states at the Fermi level**: 0.94 states/eV/atom
# **Energy relative to the elements, uncorrected**: 4.32 eV/f.u.



No. 5
# ZrW2Br | Alexandria via LeMat-Bulk | GGA-PBE | relaxed
data_ZrW2Br
_cell_length_a 3.074
_cell_length_b 5.283
_cell_length_c 4.611
_cell_angle_alpha 90.00
_cell_angle_beta 90.02
_cell_angle_gamma 90.00
_space_group_name_H-M_alt 'P 1 2/m 1'
_space_group_IT_number 10
loop_
_space_group_symop_operation_xyz
'x,y,z'
'-x,-y,-z'
'-x,y,-z'
'x,-y,z'
loop_
_atom_site_label
_atom_site_type_symbol
_atom_site_fract_x
_atom_site_fract_y
_atom_site_fract_z
_atom_site_occupancy
Zr1 Zr 0.000 0.000 0.000 1
W1 W 0.285 0.500 0.240 1
Br1 Br 0.500 0.000 0.500 1
# **Crystal system**: monoclinic
# **Uncorrected energy**: -8.45 eV per atom
# **Density of states at the Fermi level**: 0.66 states/eV/atom
# **Energy relative to the elements, uncorrected**: 2.33 eV/f.u.



No. 6
# Zr2WBr | Alexandria via LeMat-Bulk | GGA-PBE | relaxed
data_Zr2WBr
_cell_length_a 3.239
_cell_length_b 4.861
_cell_length_c 5.326
_cell_angle_alpha 90.00
_cell_angle_beta 103.41
_cell_angle_gamma 90.00
_space_group_name_H-M_alt 'P 1 m 1'
_space_group_IT_number 6
loop_
_space_group_symop_operation_xyz
'x,y,z'
'x,-y,z'
loop_
_atom_site_label
_atom_site_type_symbol
_atom_site_fract_x
_atom_site_fract_y
_atom_site_fract_z
_atom_site_occupancy
Zr1 Zr 0.000 0.000 0.000 1
Zr2 Zr 0.120 0.500 0.569 1
W1 W 0.570 0.000 0.511 1
Br1 Br 0.430 0.500 0.117 1
# **Crystal system**: monoclinic
# **Uncorrected energy**: -7.77 eV per atom
# **Density of states at the Fermi level**: 0.68 states/eV/atom
# **Energy relative to the elements, uncorrected**: 0.65 eV/f.u.



No. 7
# ZrWBr3 | Alexandria via LeMat-Bulk | GGA-PBE | relaxed
data_ZrWBr3
_cell_length_a 5.354
_cell_length_b 5.354
_cell_length_c 5.354
_cell_angle_alpha 90.00
_cell_angle_beta 90.00
_cell_angle_gamma 90.00
_space_group_name_H-M_alt 'P m -3 m'
_space_group_IT_number 221
_space_group_name_Hall '-P 4 2 3'
loop_
_atom_site_label
_atom_site_type_symbol
_atom_site_fract_x
_atom_site_fract_y
_atom_site_fract_z
_atom_site_occupancy
Zr1 Zr 0.000 0.000 0.000 1
W1 W 0.500 0.500 0.500 1
Br1 Br 0.000 0.000 0.500 1
# **Crystal system**: cubic
# **Uncorrected energy**: -4.65 eV per atom
# **Density of states at the Fermi level**: 0.65 states/eV/atom
# **Energy relative to the elements, uncorrected**: 3.26 eV/f.u.



No. 8
# ZrW2Br | Alexandria via LeMat-Bulk | GGA-PBE | relaxed
data_ZrW2Br
_cell_length_a 3.2245
_cell_length_b 3.2245
_cell_length_c 28.2659
_cell_angle_alpha 90.00
_cell_angle_beta 90.00
_cell_angle_gamma 120.00
_space_group_name_H-M_alt 'R 3 m'
_space_group_IT_number 160
_space_group_name_Hall 'R 3 -2"'
loop_
_atom_site_label
_atom_site_type_symbol
_atom_site_fract_x
_atom_site_fract_y
_atom_site_fract_z
_atom_site_occupancy
Zr1 Zr 0.0000 0.0000 0.0000 1
W1 W 0.0000 0.0000 0.2489 1
W2 W 0.0000 0.0000 0.5207 1
Br1 Br 0.0000 0.0000 0.7376 1
# **Crystal system**: trigonal
# **Uncorrected energy**: -8.77 eV per atom
# **Density of states at the Fermi level**: 0.68 states/eV/atom
# **Energy relative to the elements, uncorrected**: 1.04 eV/f.u.



No. 9
# Zr2WBr | Alexandria via LeMat-Bulk | GGA-PBE | relaxed
data_Zr2WBr
_cell_length_a 3.3714
_cell_length_b 3.3714
_cell_length_c 25.9135
_cell_angle_alpha 90.00
_cell_angle_beta 90.00
_cell_angle_gamma 120.00
_space_group_name_H-M_alt 'R -3 m'
_space_group_IT_number 166
_space_group_name_Hall '-R 3 2"'
loop_
_atom_site_label
_atom_site_type_symbol
_atom_site_fract_x
_atom_site_fract_y
_atom_site_fract_z
_atom_site_occupancy
Zr1 Zr 0.0000 0.0000 0.2433 1
W1 W 0.0000 0.0000 0.5000 1
Br1 Br 0.0000 0.0000 0.0000 1
# **Crystal system**: trigonal
# **Uncorrected energy**: -8.02 eV per atom
# **Density of states at the Fermi level**: 0.67 states/eV/atom
# **Energy relative to the elements, uncorrected**: -0.35 eV/f.u.



No. 10
# Zr3WBr | Alexandria via LeMat-Bulk | GGA-PBE | relaxed
data_Zr3WBr
_cell_length_a 5.174
_cell_length_b 5.174
_cell_length_c 5.174
_cell_angle_alpha 90.00
_cell_angle_beta 90.00
_cell_angle_gamma 90.00
_space_group_name_H-M_alt 'P m -3 m'
_space_group_IT_number 221
_space_group_name_Hall '-P 4 2 3'
loop_
_atom_site_label
_atom_site_type_symbol
_atom_site_fract_x
_atom_site_fract_y
_atom_site_fract_z
_atom_site_occupancy
Zr1 Zr 0.000 0.000 0.500 1
W1 W 0.000 0.000 0.000 1
Br1 Br 0.500 0.500 0.500 1
# **Crystal system**: cubic
# **Uncorrected energy**: -7.25 eV per atom
# **Density of states at the Fermi level**: 1.84 states/eV/atom
# **Energy relative to the elements, uncorrected**: 4.03 eV/f.u.



No. 11
# ZrWBr4 | Alexandria via LeMat-Bulk | GGA-PBE | relaxed
data_ZrWBr4
_cell_length_a 8.503
_cell_length_b 8.503
_cell_length_c 8.503
_cell_angle_alpha 90.00
_cell_angle_beta 90.00
_cell_angle_gamma 90.00
_space_group_name_H-M_alt 'F -4 3 m'
_space_group_IT_number 216
_space_group_name_Hall 'F -4 2 3'
loop_
_atom_site_label
_atom_site_type_symbol
_atom_site_fract_x
_atom_site_fract_y
_atom_site_fract_z
_atom_site_occupancy
Zr1 Zr 0.000 0.000 0.000 1
W1 W 0.250 0.250 0.250 1
Br1 Br 0.125 0.125 0.625 1
# **Crystal system**: cubic
# **Uncorrected energy**: -3.26 eV per atom
# **Density of states at the Fermi level**: 1.65 states/eV/atom
# **Energy relative to the elements, uncorrected**: 8.64 eV/f.u.



No. 12
# ZrW2Br | Alexandria via LeMat-Bulk | GGA-PBE | relaxed
data_ZrW2Br
_cell_length_a 3.219
_cell_length_b 3.219
_cell_length_c 7.117
_cell_angle_alpha 90.00
_cell_angle_beta 90.00
_cell_angle_gamma 90.00
_space_group_name_H-M_alt 'P 4/m m m'
_space_group_IT_number 123
_space_group_name_Hall '-P 4 2'
loop_
_atom_site_label
_atom_site_type_symbol
_atom_site_fract_x
_atom_site_fract_y
_atom_site_fract_z
_atom_site_occupancy
Zr1 Zr 0.000 0.000 0.000 1
W1 W 0.500 0.500 0.252 1
Br1 Br 0.000 0.000 0.500 1
# **Crystal system**: tetragonal
# **Uncorrected energy**: -8.06 eV per atom
# **Density of states at the Fermi level**: 1.26 states/eV/atom
# **Energy relative to the elements, uncorrected**: 3.90 eV/f.u.